The following is a GGA-PBE calculation of a geometry-optimized TmSbTe structure, from Alexandria.

Properties
- Size of the total moment: 0.00 μB per cell
- Raw total energy: -29.43 eV/cell

POSCAR file:
```
TmSbTe
1.0
-2.122 2.122 9.269
2.122 -2.122 9.269
2.122 2.122 -9.269
Tm Sb Te
2 2 2
Cartesian
0.000 0.000 2.590 Tm
0.000 0.000 15.947 Tm
2.122 0.000 0.000 Sb
0.000 2.122 0.000 Sb
0.000 0.000 5.760 Te
0.000 0.000 12.777 Te
```